# 1
# GGA-PBE Tm7Th3Zr, optimized geometry
data_Tm7Th3Zr
_cell_length_a 6.9435
_cell_length_b 6.9435
_cell_length_c 8.3360
_cell_angle_alpha 90.00
_cell_angle_beta 90.00
_cell_angle_gamma 120.00
_space_group_name_H-M_alt 'P 3 m 1'
_space_group_IT_number 156
loop_
_space_group_symop_operation_xyz
'x,y,z'
'-y,x-y,z'
'-x+y,-x,z'
'-y,-x,z'
'-x+y,y,z'
'x,x-y,z'
loop_
_atom_site_label
_atom_site_fract_x
_atom_site_fract_y
_atom_site_fract_z
_atom_site_occupancy
Tm1 0.0000 0.0000 0.0000 1
Tm2 0.0054 0.5027 0.9897 1
Tm3 0.3321 0.1660 0.6614 1
Th1 0.1670 0.3340 0.3320 1
Zr1 0.3333 0.6667 0.6506 1
# V in Å³/cell: 348.1
# Electronic total energy in eV per atom: -5.435
# E_form in eV/atom: 0.212

---

# 2
# GGA-PBE LiHoTh2S5, optimized geometry
data_LiHoTh2S5
_cell_length_a 3.8988
_cell_length_b 16.4039
_cell_length_c 11.9391
_cell_angle_alpha 90.00
_cell_angle_beta 90.00
_cell_angle_gamma 90.00
_space_group_name_H-M_alt 'C m c 21'
_space_group_IT_number 36
loop_
_space_group_symop_operation_xyz
'x,y,z'
'-x,-y,z+1/2'
'-x,y,z'
'x,-y,z+1/2'
'x+1/2,y+1/2,z'
'-x+1/2,-y+1/2,z+1/2'
'-x+1/2,y+1/2,z'
'x+1/2,-y+1/2,z+1/2'
loop_
_atom_site_label
_atom_site_fract_x
_atom_site_fract_y
_atom_site_fract_z
_atom_site_occupancy
Li1 0.0000 0.0113 0.0000 1
Ho1 0.0000 0.3045 0.5208 1
Th1 0.0000 0.3713 0.8196 1
Th2 0.0000 0.3892 0.2017 1
S1 0.0000 0.0008 0.3048 1
S2 0.0000 0.1389 0.5190 1
S3 0.0000 0.1912 0.8620 1
S4 0.0000 0.2097 0.1797 1
S5 0.0000 0.4564 0.5916 1
# V in Å³/cell: 763.6
# Uncorrected formation energy in meV/atom: -1820
# Electronic total energy in eV per atom: -6.484

---

# 3
# GGA-PBE Ta3MnCl, optimized geometry
data_Ta3MnCl
_cell_length_a 4.6631
_cell_length_b 4.6631
_cell_length_c 4.6631
_cell_angle_alpha 90.00
_cell_angle_beta 90.00
_cell_angle_gamma 90.00
_space_group_name_H-M_alt 'P m -3 m'
_space_group_IT_number 221
_space_group_name_Hall '-P 4 2 3'
loop_
_atom_site_label
_atom_site_fract_x
_atom_site_fract_y
_atom_site_fract_z
_atom_site_occupancy
Ta1 0.0000 0.0000 0.5000 1
Mn1 0.0000 0.0000 0.0000 1
Cl1 0.5000 0.5000 0.5000 1
# Distance to the lowest polymorph of the same formula in eV per atom: 0.000
# V in Å³/cell: 101.4
# Uncorrected formation energy in meV/atom: 1081
# Electronic total energy in eV per atom: -8.233

---

# 4
# GGA-PBE Dy12HoSc7, optimized geometry
data_Dy12HoSc7
_cell_length_a 12.8300
_cell_length_b 12.8300
_cell_length_c 12.2980
_cell_angle_alpha 90.00
_cell_angle_beta 90.00
_cell_angle_gamma 120.00
_space_group_name_H-M_alt 'R -3 m'
_space_group_IT_number 166
_space_group_name_Hall '-R 3 2"'
loop_
_atom_site_label
_atom_site_fract_x
_atom_site_fract_y
_atom_site_fract_z
_atom_site_occupancy
Dy1 0.0000 0.2648 0.0000 1
Dy2 0.0883 0.1766 0.7684 1
Ho1 0.0000 0.0000 0.5000 1
Sc1 0.0000 0.0000 0.0000 1
Sc2 0.0408 0.5204 0.1194 1
# Distance to the lowest polymorph of the same formula in eV per atom: 0.000
# V in Å³/cell: 1753.2
# Electronic total energy in eV per atom: -5.090
# E_form in eV/atom: 0.116

---

# 5
# GGA-PBE Fe4HgSe, optimized geometry
data_Fe4HgSe
_cell_length_a 7.1132
_cell_length_b 7.1132
_cell_length_c 7.1132
_cell_angle_alpha 90.00
_cell_angle_beta 90.00
_cell_angle_gamma 90.00
_space_group_name_H-M_alt 'F -4 3 m'
_space_group_IT_number 216
_space_group_name_Hall 'F -4 2 3'
loop_
_atom_site_label
_atom_site_fract_x
_atom_site_fract_y
_atom_site_fract_z
_atom_site_occupancy
Fe1 0.1240 0.1240 0.1240 1
Hg1 0.2500 0.2500 0.7500 1
Se1 0.0000 0.0000 0.5000 1
# V in Å³/cell: 359.9
# Uncorrected formation energy in meV/atom: 422
# Electronic total energy in eV per atom: -5.851

---

# 6
# GGA-PBE Pr4AlCd, optimized geometry
data_Pr4AlCd
_cell_length_a 3.8150
_cell_length_b 5.8592
_cell_length_c 8.8474
_cell_angle_alpha 90.00
_cell_angle_beta 90.00
_cell_angle_gamma 90.00
_space_group_name_H-M_alt 'P m m m'
_space_group_IT_number 47
loop_
_space_group_symop_operation_xyz
'x,y,z'
'-x,-y,-z'
'-x,-y,z'
'x,y,-z'
'x,-y,-z'
'-x,y,z'
'-x,y,-z'
'x,-y,z'
loop_
_atom_site_label
_atom_site_fract_x
_atom_site_fract_y
_atom_site_fract_z
_atom_site_occupancy
Pr1 0.0000 0.0000 0.2039 1
Pr2 0.5000 0.5000 0.2798 1
Al1 0.0000 0.5000 0.0000 1
Cd1 0.5000 0.0000 0.5000 1
# Distance to the lowest polymorph of the same formula in eV per atom: 0.000
# V in Å³/cell: 197.8
# Electronic total energy in eV per atom: -3.956
# E_form in eV/atom: 0.007

---

Total magnetization readings, ordered: 0.0; 0.0; 0.0; 14.5; 42.6; 0.0 μB/cell